Compound: RbNbOsSe2
Source: the Alexandria database
Functional: PBE-GGA
Structure: relaxed

Cell: 5.634 5.326 5.634 Å, 90.00 90.00 90.00°
Fractional positions:
Nb (0.000, 0.500, 0.000)
Os (0.500, 0.500, 0.500)
Se (0.000, 0.000, 0.500)
Se (0.500, 0.000, 0.000)
Rb (0.000, 0.000, 0.000)

Computed properties:
- Raw formation energy: 14.31 eV per formula unit

Compound: RbNb2ZnOs
Source: the Alexandria database
Functional: PBE-GGA
Structure: relaxed

Cell: 4.768 4.775 4.768 Å, 90.00 90.00 90.00°
Fractional positions:
Nb (0.000, 0.000, 0.500)
Nb (0.500, 0.000, 0.000)
Os (0.500, 0.500, 0.500)
Zn (0.000, 0.500, 0.000)
Rb (0.000, 0.000, 0.000)

Computed properties:
- E_form: 3.107 eV/atom

Compound: Nb6ReOs5
Source: the Alexandria database
Functional: PBE-GGA
Structure: relaxed

Cell: 4.582 6.224 7.403 Å, 90.00 111.89 90.00°
Fractional positions:
Re (0.000, 0.000, 0.000)
Nb (0.855, 0.750, 0.676)
Nb (0.855, 0.250, 0.676)
Nb (0.500, 0.251, 0.000)
Nb (0.500, 0.749, 0.000)
Nb (0.145, 0.750, 0.324)
Nb (0.145, 0.250, 0.324)
Os (0.651, 0.500, 0.346)
Os (0.346, 0.000, 0.655)
Os (0.000, 0.500, 0.000)
Os (0.654, 0.000, 0.345)
Os (0.349, 0.500, 0.654)

Computed properties:
- E_form: -0.142 eV/atom

Compound: Nb14ReOs
Source: the Alexandria database
Functional: PBE-GGA
Structure: relaxed

Cell: 6.532 6.532 6.600 Å, 90.00 90.00 90.00°
Fractional positions:
Nb (0.875, 0.875, 0.000)
Nb (0.375, 0.375, 0.000)
Nb (0.875, 0.375, 0.500)
Nb (0.875, 0.375, 0.000)
Nb (0.375, 0.875, 0.500)
Nb (0.375, 0.875, 0.000)
Nb (0.625, 0.125, 0.256)
Nb (0.625, 0.125, 0.744)
Nb (0.125, 0.625, 0.256)
Nb (0.125, 0.625, 0.744)
Nb (0.625, 0.625, 0.256)
Nb (0.625, 0.625, 0.744)
Nb (0.125, 0.125, 0.256)
Nb (0.125, 0.125, 0.744)
Re (0.875, 0.875, 0.500)
Os (0.375, 0.375, 0.500)

Computed properties:
- E_form: -0.136 eV/atom

Compound: NbReOs2
Source: the Alexandria database
Functional: PBE-GGA
Structure: relaxed

Cell: 4.451 4.451 4.451 Å, 60.00 60.00 60.00°
Fractional positions:
Re (0.500, 0.500, 0.500)
Nb (0.000, 0.000, 0.000)
Os (0.250, 0.250, 0.250)
Os (0.750, 0.750, 0.750)

Computed properties:
- Excess energy over the best structure of this formula in the dataset: 348 meV/atom
- E_form: 0.320 eV/atom

Compound: NbRe3Os
Source: the Alexandria database
Functional: PBE-GGA
Structure: relaxed

Cell: 4.669 4.669 4.669 Å, 90.00 90.00 90.00°
Fractional positions:
Re (0.000, 0.500, 0.000)
Re (0.000, 0.000, 0.500)
Re (0.500, 0.000, 0.000)
Nb (0.500, 0.500, 0.500)
Os (0.000, 0.000, 0.000)

Computed properties:
- Excess energy over the best structure of this formula in the dataset: 0 meV/atom
- E_form: 1.999 eV/atom

Compound: Nb3ReOs
Source: the Alexandria database
Functional: PBE-GGA
Structure: relaxed

Cell: 6.398 7.781 7.781 Å, 63.36 91.58 91.58°
Fractional positions:
Nb (0.416, 0.304, 0.815)
Nb (0.084, 0.185, 0.696)
Nb (0.584, 0.696, 0.185)
Nb (0.916, 0.815, 0.304)
Nb (0.933, 0.746, 0.938)
Nb (0.567, 0.062, 0.254)
Nb (0.067, 0.254, 0.062)
Nb (0.433, 0.938, 0.746)
Nb (0.433, 0.303, 0.388)
Nb (0.067, 0.612, 0.697)
Nb (0.567, 0.697, 0.612)
Nb (0.933, 0.388, 0.303)
Re (0.683, 0.433, 0.995)
Re (0.817, 0.005, 0.567)
Re (0.317, 0.567, 0.005)
Re (0.183, 0.995, 0.433)
Os (0.250, 0.928, 0.072)
Os (0.750, 0.072, 0.928)
Os (0.250, 0.585, 0.415)
Os (0.750, 0.415, 0.585)

Computed properties:
- Excess energy over the best structure of this formula in the dataset: 0 meV/atom
- E_form: 0.109 eV/atom

Compound: NbReOs
Source: the Alexandria database
Functional: PBE-GGA
Structure: relaxed

Cell: 4.899 2.738 7.850 Å, 100.04 108.18 90.00°
Fractional positions:
Os (0.653, 0.153, 0.305)
Os (0.347, 0.847, 0.695)
Nb (0.751, 0.500, 0.000)
Nb (0.249, 0.500, 0.000)
Re (0.181, 0.681, 0.362)
Re (0.819, 0.319, 0.638)

Computed properties:
- E_form: 0.513 eV/atom

What did we get for total magnetic moment? Answer: 6.0 1.4 0.0 0.0 0.0 0.0 0.0 0.0 Bohr magnetons per cell, in the order shown.
What did we get for VASP energy? Answer: -2.984 -3.615 -10.894 -10.427 -10.925 -9.730 -10.668 -10.736 eV per atom, in the order shown.